The following is a DFT calculation (PBE) of a relaxed structure of AgPd2Br.

Summary:
uncorrected energy: -3.446 eV per atom
relative energy among the computed polymorphs: 0.0039 eV per atom
volume: 17.91 Å³ per atom
ΔE_f (raw): 0.2812 eV/atom
space-group type: Fm-3m (225)

Structure (CIF):
```
data_AgPd2Br
_chemical_formula_sum 'Ag1 Pd2 Br1'
_space_group_name_H-M_alt 'P 1'
_space_group_IT_number 1
_space_group_name_Hall 'P 1'
_cell_length_a 4.662
_cell_length_b 4.662
_cell_length_c 4.662
_cell_angle_alpha 60.00
_cell_angle_beta 60.00
_cell_angle_gamma 60.00
loop_
_atom_site_label
_atom_site_fract_x
_atom_site_fract_y
_atom_site_fract_z
Br1 0.000 0.000 0.000
Pd1 0.250 0.250 0.250
Pd2 0.750 0.750 0.750
Ag1 0.500 0.500 0.500
```


The following is a DFT calculation (PBE) of a relaxed structure of Dy4HoEr.

Summary:
uncorrected energy: -4.440 eV per atom
relative energy among the computed polymorphs: 0.1317 eV per atom
volume: 31.67 Å³ per atom
space-group type: C2/c (15)

Structure (CIF):
```
data_Dy4HoEr
_chemical_formula_sum 'Dy8 Ho2 Er2'
_space_group_name_H-M_alt 'P 1'
_space_group_IT_number 1
_space_group_name_Hall 'P 1'
_cell_length_a 6.418
_cell_length_b 8.559
_cell_length_c 8.574
_cell_angle_alpha 111.64
_cell_angle_beta 101.57
_cell_angle_gamma 110.38
loop_
_atom_site_label
_atom_site_fract_x
_atom_site_fract_y
_atom_site_fract_z
Dy1 0.063 0.178 0.755
Dy2 0.755 0.710 0.600
Dy3 0.193 0.578 0.755
Dy4 0.345 0.890 0.600
Dy5 0.655 0.110 0.400
Dy6 0.807 0.422 0.245
Dy7 0.245 0.290 0.400
Dy8 0.937 0.822 0.245
Ho1 0.257 0.007 0.014
Ho2 0.743 0.993 0.986
Er1 0.336 0.586 0.171
Er2 0.664 0.414 0.829
```


The following is a DFT calculation (PBE) of a relaxed structure of NiIr2Rh.

Summary:
uncorrected energy: -7.446 eV per atom
volume: 14.10 Å³ per atom
space-group type: Cmm2 (35)

Structure (CIF):
```
data_NiIr2Rh
_chemical_formula_sum 'Ni1 Ir2 Rh1'
_space_group_name_H-M_alt 'P 1'
_space_group_IT_number 1
_space_group_name_Hall 'P 1'
_cell_length_a 2.683
_cell_length_b 2.683
_cell_length_c 9.048
_cell_angle_alpha 90.00
_cell_angle_beta 90.00
_cell_angle_gamma 119.98
loop_
_atom_site_label
_atom_site_fract_x
_atom_site_fract_y
_atom_site_fract_z
Ir1 0.000 0.000 0.000
Ir2 0.500 0.500 0.259
Ni1 0.000 0.000 0.500
Rh1 0.500 0.500 0.741
```


The following is a DFT calculation (PBE) of a relaxed structure of TePdSI2.

Summary:
uncorrected energy: -2.400 eV per atom
relative energy among the computed polymorphs: 0.1338 eV per atom
volume: 37.12 Å³ per atom
ΔE_f (raw): 0.7123 eV/atom
space-group type: P4/mmm (123)

Structure (CIF):
```
data_TePdSI2
_chemical_formula_sum 'Te1 Pd1 S1 I2'
_space_group_name_H-M_alt 'P 1'
_space_group_IT_number 1
_space_group_name_Hall 'P 1'
_cell_length_a 6.070
_cell_length_b 5.039
_cell_length_c 6.070
_cell_angle_alpha 90.00
_cell_angle_beta 90.00
_cell_angle_gamma 90.00
loop_
_atom_site_label
_atom_site_fract_x
_atom_site_fract_y
_atom_site_fract_z
I1 0.000 0.000 0.500
I2 0.500 0.000 0.000
S1 0.500 0.500 0.500
Te1 0.000 0.000 0.000
Pd1 0.000 0.500 0.000
```


The following is a DFT calculation (PBE) of a relaxed structure of Tm4As3Se.

Summary:
uncorrected energy: -6.015 eV per atom
relative energy among the computed polymorphs: 0.0000 eV per atom
volume: 23.51 Å³ per atom
ΔE_f (raw): -1.6004 eV/atom
space-group type: I4/mmm (139)

Structure (CIF):
```
data_Tm4As3Se
_chemical_formula_sum 'Tm4 As3 Se1'
_space_group_name_H-M_alt 'P 1'
_space_group_IT_number 1
_space_group_name_Hall 'P 1'
_cell_length_a 5.729
_cell_length_b 5.729
_cell_length_c 7.018
_cell_angle_alpha 114.09
_cell_angle_beta 114.09
_cell_angle_gamma 90.00
loop_
_atom_site_label
_atom_site_fract_x
_atom_site_fract_y
_atom_site_fract_z
As1 0.500 0.500 0.000
As2 0.750 0.250 0.500
As3 0.250 0.750 0.500
Tm1 0.000 0.500 0.000
Tm2 0.500 0.000 0.000
Tm3 0.255 0.255 0.509
Tm4 0.745 0.745 0.491
Se1 0.000 0.000 0.000
```


The following is a DFT calculation (PBE) of a relaxed structure of ZrTiRe2.

Summary:
uncorrected energy: -10.587 eV per atom
volume: 16.60 Å³ per atom
space-group type: P4/mmm (123)

Structure (CIF):
```
data_ZrTiRe2
_chemical_formula_sum 'Zr1 Ti1 Re2'
_space_group_name_H-M_alt 'P 1'
_space_group_IT_number 1
_space_group_name_Hall 'P 1'
_cell_length_a 3.214
_cell_length_b 3.214
_cell_length_c 6.427
_cell_angle_alpha 90.00
_cell_angle_beta 90.00
_cell_angle_gamma 90.00
loop_
_atom_site_label
_atom_site_fract_x
_atom_site_fract_y
_atom_site_fract_z
Re1 0.000 0.000 0.765
Re2 0.000 0.000 0.235
Zr1 0.500 0.500 0.500
Ti1 0.500 0.500 0.000
```


The following is a DFT calculation (PBE) of a relaxed structure of Cd6Hg12Bi.

Summary:
uncorrected energy: -0.641 eV per atom
volume: 26.75 Å³ per atom
space-group type: R-3 (148)

Structure (CIF):
```
data_Cd6Hg12Bi
_chemical_formula_sum 'Cd6 Hg12 Bi1'
_space_group_name_H-M_alt 'P 1'
_space_group_IT_number 1
_space_group_name_Hall 'P 1'
_cell_length_a 8.142
_cell_length_b 8.142
_cell_length_c 8.142
_cell_angle_alpha 77.92
_cell_angle_beta 77.92
_cell_angle_gamma 77.92
loop_
_atom_site_label
_atom_site_fract_x
_atom_site_fract_y
_atom_site_fract_z
Cd1 0.225 0.104 0.632
Cd2 0.896 0.368 0.775
Cd3 0.368 0.775 0.896
Cd4 0.775 0.896 0.368
Cd5 0.104 0.632 0.225
Cd6 0.632 0.225 0.104
Hg1 0.564 0.218 0.486
Hg2 0.218 0.486 0.564
Hg3 0.486 0.564 0.218
Hg4 0.436 0.782 0.514
Hg5 0.782 0.514 0.436
Hg6 0.514 0.436 0.782
Hg7 0.998 0.824 0.639
Hg8 0.361 0.002 0.176
Hg9 0.176 0.361 0.002
Hg10 0.002 0.176 0.361
Hg11 0.639 0.998 0.824
Hg12 0.824 0.639 0.998
Bi1 0.000 0.000 0.000
```


The following is a DFT calculation (PBE) of a relaxed structure of TaCd2Fe.

Summary:
uncorrected energy: -5.131 eV per atom
relative energy among the computed polymorphs: 0.2517 eV per atom
volume: 17.65 Å³ per atom
space-group type: P2/m (10)

Structure (CIF):
```
data_TaCd2Fe
_chemical_formula_sum 'Ta1 Cd2 Fe1'
_space_group_name_H-M_alt 'P 1'
_space_group_IT_number 1
_space_group_name_Hall 'P 1'
_cell_length_a 4.642
_cell_length_b 2.806
_cell_length_c 5.615
_cell_angle_alpha 74.93
_cell_angle_beta 90.00
_cell_angle_gamma 90.00
loop_
_atom_site_label
_atom_site_fract_x
_atom_site_fract_y
_atom_site_fract_z
Cd1 0.000 0.077 0.011
Cd2 0.000 0.423 0.489
Fe1 0.500 0.250 0.250
Ta1 0.500 0.750 0.750
```


The following is a DFT calculation (PBE) of a relaxed structure of PW.

Summary:
uncorrected energy: -9.080 eV per atom
volume: 14.48 Å³ per atom
space-group type: R-3m (166)

Structure (CIF):
```
data_PW
_chemical_formula_sum 'P1 W1'
_space_group_name_H-M_alt 'P 1'
_space_group_IT_number 1
_space_group_name_Hall 'P 1'
_cell_length_a 4.136
_cell_length_b 4.136
_cell_length_c 4.136
_cell_angle_alpha 42.27
_cell_angle_beta 42.27
_cell_angle_gamma 42.27
loop_
_atom_site_label
_atom_site_fract_x
_atom_site_fract_y
_atom_site_fract_z
P1 0.000 0.000 0.000
W1 0.500 0.500 0.500
```


The following is a DFT calculation (PBE) of a relaxed structure of CuGe2Au.

Summary:
uncorrected energy: -3.931 eV per atom
relative energy among the computed polymorphs: 0.0781 eV per atom
volume: 17.98 Å³ per atom
space-group type: I-42d (122)

Structure (CIF):
```
data_CuGe2Au
_chemical_formula_sum 'Cu2 Ge4 Au2'
_space_group_name_H-M_alt 'P 1'
_space_group_IT_number 1
_space_group_name_Hall 'P 1'
_cell_length_a 7.283
_cell_length_b 7.283
_cell_length_c 5.820
_cell_angle_alpha 51.27
_cell_angle_beta 51.27
_cell_angle_gamma 90.00
loop_
_atom_site_label
_atom_site_fract_x
_atom_site_fract_y
_atom_site_fract_z
Ge1 0.607 0.125 0.250
Ge2 0.143 0.625 0.250
Ge3 0.375 0.393 0.750
Ge4 0.875 0.857 0.750
Au1 0.000 0.000 0.000
Au2 0.750 0.250 0.500
Cu1 0.500 0.500 0.000
Cu2 0.250 0.750 0.500
```


The following is a DFT calculation (PBE) of a relaxed structure of CsGa7.

Summary:
uncorrected energy: -2.869 eV per atom
relative energy among the computed polymorphs: 0.0000 eV per atom
volume: 24.05 Å³ per atom
space-group type: R-3m (166)

Structure (CIF):
```
data_CsGa7
_chemical_formula_sum 'Cs2 Ga14'
_space_group_name_H-M_alt 'P 1'
_space_group_IT_number 1
_space_group_name_Hall 'P 1'
_cell_length_a 10.485
_cell_length_b 10.485
_cell_length_c 10.485
_cell_angle_alpha 37.59
_cell_angle_beta 37.59
_cell_angle_gamma 37.59
loop_
_atom_site_label
_atom_site_fract_x
_atom_site_fract_y
_atom_site_fract_z
Cs1 0.195 0.195 0.195
Cs2 0.805 0.805 0.805
Ga1 0.785 0.785 0.204
Ga2 0.204 0.785 0.785
Ga3 0.455 0.455 0.455
Ga4 0.545 0.545 0.545
Ga5 0.418 0.818 0.818
Ga6 0.818 0.818 0.418
Ga7 0.818 0.418 0.818
Ga8 0.182 0.582 0.182
Ga9 0.582 0.182 0.182
Ga10 0.182 0.182 0.582
Ga11 0.796 0.215 0.215
Ga12 0.215 0.215 0.796
Ga13 0.215 0.796 0.215
Ga14 0.785 0.204 0.785
```


The following is a DFT calculation (PBE) of a relaxed structure of CrFeAsBr2.

Summary:
uncorrected energy: -4.700 eV per atom
relative energy among the computed polymorphs: 0.0000 eV per atom
volume: 23.91 Å³ per atom
ΔE_f (raw): 0.5163 eV/atom
space-group type: P4/mmm (123)

Structure (CIF):
```
data_CrFeAsBr2
_chemical_formula_sum 'Cr1 Fe1 As1 Br2'
_space_group_name_H-M_alt 'P 1'
_space_group_IT_number 1
_space_group_name_Hall 'P 1'
_cell_length_a 5.172
_cell_length_b 5.172
_cell_length_c 4.469
_cell_angle_alpha 90.00
_cell_angle_beta 90.00
_cell_angle_gamma 90.00
loop_
_atom_site_label
_atom_site_fract_x
_atom_site_fract_y
_atom_site_fract_z
Cr1 0.500 0.500 0.500
As1 0.000 0.000 0.500
Fe1 0.000 0.000 0.000
Br1 0.000 0.500 0.000
Br2 0.500 0.000 0.000
```